Entry 1:
La4Dy5Er: relaxed, PBE-GGA.

Cell: 8.7769 8.7769 11.4596 Å, 90.08 90.08 23.33°
Fractional positions:
La (0.0325, 0.0325, 0.2496)
La (0.3372, 0.3372, 0.2502)
La (0.6628, 0.6628, 0.7498)
La (0.9675, 0.9675, 0.7504)
Dy (0.1723, 0.1723, 0.0480)
Dy (0.1728, 0.1728, 0.4508)
Dy (0.5000, 0.5000, 0.5000)
Dy (0.8272, 0.8272, 0.5492)
Dy (0.8277, 0.8277, 0.9520)
Er (0.5000, 0.5000, 0.0000)

Computed properties:
Size of the total moment (μB/f.u.): 0.00
Volume (A^3/atom): 35.0
Uncorrected energy (eV per cell): -45.4
DOS at the Fermi energy (states/eV per atom): 1.489
Energy relative to the lowest polymorph listed for this composition (eV/atom): 0.0000
Formation energy from the elements (eV/atom): 0.1910


Entry 2:
LaDy3Er3: relaxed, PBE-GGA.

Cell: 12.8546 12.8546 6.6178 Å, 99.89 99.89 117.11°
Fractional positions:
La (0.0000, 0.0000, 0.0000)
La (0.9999, 0.8231, 0.3869)
La (0.1771, 0.1771, 0.5635)
La (0.8231, 0.9999, 0.3869)
Dy (0.0001, 0.5327, 0.2027)
Dy (0.0001, 0.7133, 0.8375)
Dy (0.2619, 0.7318, 0.7266)
Dy (0.2686, 0.5304, 0.9950)
Dy (0.2870, 0.2870, 0.1241)
Dy (0.4676, 0.4676, 0.6701)
Dy (0.4700, 0.7384, 0.4648)
Dy (0.5304, 0.2686, 0.9950)
Dy (0.5327, 0.0001, 0.2027)
Dy (0.7133, 0.0001, 0.8375)
Dy (0.7318, 0.2619, 0.7266)
Dy (0.7384, 0.4700, 0.4648)
Er (0.0002, 0.2550, 0.9407)
Er (0.0001, 0.4543, 0.6807)
Er (0.1961, 0.4447, 0.4353)
Er (0.2485, 0.8043, 0.2394)
Er (0.2550, 0.0002, 0.9407)
Er (0.4447, 0.1961, 0.4353)
Er (0.4543, 0.0001, 0.6807)
Er (0.5462, 0.5462, 0.2267)
Er (0.5557, 0.7516, 0.9909)
Er (0.7453, 0.7453, 0.6863)
Er (0.7516, 0.5557, 0.9909)
Er (0.8043, 0.2485, 0.2394)

Computed properties:
Size of the total moment (μB/f.u.): 0.00
Volume (A^3/atom): 32.8
Uncorrected energy (eV per cell): -126.0
DOS at the Fermi energy (states/eV per atom): 1.675
Energy relative to the lowest polymorph listed for this composition (eV/atom): 0.0000
Formation energy from the elements (eV/atom): 0.1316


Entry 3:
La6Dy3Er: relaxed, PBE-GGA.

Cell: 6.0289 9.7237 13.4453 Å, 90.00 116.39 90.00°
Fractional positions:
La (0.0928, 0.1504, 0.0942)
La (0.0928, 0.3496, 0.5942)
La (0.3147, 0.0475, 0.7496)
La (0.3147, 0.4525, 0.2496)
La (0.4054, 0.1521, 0.4068)
La (0.4054, 0.3479, 0.9068)
La (0.5946, 0.6521, 0.0932)
La (0.5946, 0.8479, 0.5932)
La (0.6853, 0.5475, 0.7504)
La (0.6853, 0.9525, 0.2504)
La (0.9072, 0.6504, 0.4058)
La (0.9072, 0.8496, 0.9058)
Dy (0.0000, 0.0000, 0.5000)
Dy (0.0000, 0.5000, 0.0000)
Dy (0.2049, 0.6982, 0.7493)
Dy (0.2049, 0.8018, 0.2493)
Dy (0.7951, 0.1982, 0.7507)
Dy (0.7951, 0.3018, 0.2507)
Er (0.5000, 0.0000, 0.0000)
Er (0.5000, 0.5000, 0.5000)

Computed properties:
Size of the total moment (μB/f.u.): 0.00
Volume (A^3/atom): 35.3
Uncorrected energy (eV per cell): -92.2
DOS at the Fermi energy (states/eV per atom): 1.264
Formation energy from the elements (eV/atom): 0.1825


Entry 4:
La8Dy2Er: relaxed, PBE-GGA.

Cell: 9.6031 9.6031 6.0654 Å, 105.56 105.56 122.34°
Fractional positions:
La (0.0953, 0.3329, 0.6834)
La (0.2057, 0.7943, 0.0000)
La (0.3329, 0.0953, 0.6834)
La (0.4197, 0.4197, 0.2013)
La (0.5803, 0.5803, 0.7987)
La (0.6671, 0.9047, 0.3166)
La (0.7943, 0.2057, 0.0000)
La (0.9047, 0.6671, 0.3166)
Dy (0.3111, 0.6889, 0.5000)
Dy (0.6889, 0.3111, 0.5000)
Er (0.0000, 0.0000, 0.0000)

Computed properties:
Size of the total moment (μB/f.u.): 0.00
Volume (A^3/atom): 35.7
Uncorrected energy (eV per cell): -51.8
DOS at the Fermi energy (states/eV per atom): 1.388
Energy relative to the lowest polymorph listed for this composition (eV/atom): 0.1061
Formation energy from the elements (eV/atom): 0.1271